(1)
In8SnPb6 | PBE-GGA | optimized geometry

Unit cell a=9.551 b=9.551 c=7.904 alpha=52.83 beta=52.83 gamma=60.00
Fractional positions:
In (0.615, 0.950, 0.291)
In (0.145, 0.615, 0.291)
In (0.235, 0.235, 0.296)
In (0.050, 0.855, 0.709)
In (0.950, 0.145, 0.291)
In (0.385, 0.050, 0.709)
In (0.855, 0.385, 0.709)
In (0.765, 0.765, 0.704)
Sn (0.000, 0.000, 0.000)
Pb (0.809, 0.566, 0.228)
Pb (0.397, 0.809, 0.228)
Pb (0.603, 0.191, 0.772)
Pb (0.191, 0.434, 0.772)
Pb (0.434, 0.603, 0.772)
Pb (0.566, 0.397, 0.228)

Calculated values
Calculated formation energy = 0.045 eV per atom
Calculated density = 8.5 g cm⁻³

***

(2)
In16Sn12Pb | PBE-GGA | optimized geometry

Unit cell a=9.962 b=9.962 c=10.565 alpha=109.71 beta=109.71 gamma=107.47
Fractional positions:
In (0.416, 0.696, 0.998)
In (0.004, 0.004, 0.996)
In (0.299, 0.712, 0.307)
In (0.999, 0.408, 0.701)
In (0.684, 0.996, 0.403)
In (0.996, 0.684, 0.403)
In (0.323, 0.323, 0.741)
In (0.002, 0.002, 0.658)
In (0.653, 0.004, 0.998)
In (0.004, 0.653, 0.998)
In (0.712, 0.299, 0.307)
In (0.696, 0.416, 0.998)
In (0.349, 0.349, 0.344)
In (0.273, 0.589, 0.591)
In (0.589, 0.273, 0.591)
In (0.408, 0.999, 0.701)
Sn (0.359, 0.993, 0.190)
Sn (0.825, 0.825, 0.165)
Sn (0.177, 0.806, 0.809)
Sn (0.993, 0.359, 0.190)
Sn (0.010, 0.206, 0.409)
Sn (0.206, 0.010, 0.409)
Sn (0.605, 0.802, 0.602)
Sn (0.802, 0.605, 0.602)
Sn (0.195, 0.391, 0.005)
Sn (0.806, 0.177, 0.809)
Sn (0.391, 0.195, 0.005)
Sn (0.623, 0.623, 0.805)
Pb (0.602, 0.602, 0.267)

Calculated values
Calculated formation energy = 0.037 eV per atom
Calculated density = 7.0 g cm⁻³

***

(3)
In5Sn2Pb12 | PBE-GGA | optimized geometry

Unit cell a=6.122 b=10.287 c=10.287 alpha=68.12 beta=79.54 gamma=79.54
Fractional positions:
In (0.573, 0.793, 0.793)
In (0.427, 0.207, 0.207)
In (0.151, 0.685, 0.685)
In (0.849, 0.315, 0.315)
In (0.500, 0.000, 0.000)
Pb (0.805, 0.928, 0.460)
Pb (0.716, 0.563, 0.563)
Pb (0.805, 0.460, 0.928)
Pb (0.387, 0.847, 0.352)
Pb (0.613, 0.648, 0.153)
Pb (0.613, 0.153, 0.648)
Pb (0.387, 0.352, 0.847)
Pb (0.195, 0.540, 0.072)
Pb (0.195, 0.072, 0.540)
Pb (0.970, 0.103, 0.103)
Pb (0.030, 0.897, 0.897)
Pb (0.284, 0.437, 0.437)
Sn (0.000, 0.254, 0.746)
Sn (0.000, 0.746, 0.254)

Calculated values
Calculated formation energy = 0.059 eV per atom
Excess energy over the best structure of this formula in the dataset = 0 meV/atom
Calculated density = 9.3 g cm⁻³

***

(4)
In5Sn4Pb4 | PBE-GGA | optimized geometry

Unit cell a=4.731 b=9.221 c=9.221 alpha=86.23 beta=75.14 gamma=75.14
Fractional positions:
Sn (0.930, 0.455, 0.685)
Sn (0.070, 0.545, 0.315)
Sn (0.615, 0.315, 0.455)
Sn (0.385, 0.685, 0.545)
In (0.000, 0.000, 0.000)
In (0.539, 0.771, 0.150)
In (0.689, 0.850, 0.771)
In (0.311, 0.150, 0.229)
In (0.461, 0.229, 0.850)
Pb (0.151, 0.080, 0.617)
Pb (0.849, 0.920, 0.383)
Pb (0.231, 0.617, 0.920)
Pb (0.769, 0.383, 0.080)

Calculated values
Calculated formation energy = 0.032 eV per atom
Calculated density = 8.3 g cm⁻³

***

(5)
In6SnPb3 | PBE-GGA | optimized geometry

Unit cell a=6.127 b=6.127 c=9.260 alpha=90.00 beta=90.00 gamma=120.00
Fractional positions:
Pb (0.000, 0.000, 0.500)
Pb (0.333, 0.667, 0.500)
Pb (0.667, 0.333, 0.500)
In (0.407, 0.407, 0.187)
In (0.593, 0.593, 0.813)
In (0.593, 0.000, 0.187)
In (0.000, 0.593, 0.187)
In (0.000, 0.407, 0.813)
In (0.407, 0.000, 0.813)
Sn (0.000, 0.000, 0.000)

Calculated values
Calculated formation energy = 0.083 eV per atom
Excess energy over the best structure of this formula in the dataset = 31 meV/atom
Calculated density = 7.9 g cm⁻³

***

(6)
In12SnPb16 | PBE-GGA | optimized geometry

Unit cell a=10.215 b=10.215 c=10.371 alpha=108.65 beta=108.65 gamma=108.03
Fractional positions:
Pb (0.420, 0.681, 0.005)
Pb (0.006, 0.668, 0.007)
Pb (0.707, 0.316, 0.310)
Pb (0.002, 0.690, 0.416)
Pb (0.409, 0.997, 0.685)
Pb (0.690, 0.002, 0.416)
Pb (0.997, 0.409, 0.685)
Pb (0.006, 0.006, 0.672)
Pb (0.585, 0.285, 0.587)
Pb (0.285, 0.585, 0.587)
Pb (0.323, 0.323, 0.309)
Pb (0.668, 0.006, 0.007)
Pb (0.681, 0.420, 0.005)
Pb (0.312, 0.312, 0.713)
Pb (0.316, 0.707, 0.310)
Pb (0.996, 0.996, 0.996)
In (0.181, 0.369, 0.991)
In (0.369, 0.181, 0.991)
In (0.189, 0.807, 0.814)
In (0.996, 0.187, 0.370)
In (0.807, 0.189, 0.814)
In (0.372, 0.991, 0.183)
In (0.637, 0.637, 0.824)
In (0.991, 0.372, 0.183)
In (0.634, 0.822, 0.632)
In (0.814, 0.814, 0.192)
In (0.822, 0.634, 0.632)
In (0.187, 0.996, 0.370)
Sn (0.598, 0.598, 0.293)

Calculated values
Calculated formation energy = 0.031 eV per atom
Calculated density = 9.3 g cm⁻³